(1)
An optimized crystal structure of BaNiW2, computed with PBE.

It has space group I4_1/amd (No. 141, origin choice 2), with a = 4.954 Å, b = 4.954 Å, c = 17.303 Å, α = 90.00°, β = 90.00° and γ = 90.00°. The distinct sites, in fractional coordinates, are Ba at (0.000, 0.250, 0.375), Ni at (0.000, 0.250, 0.875) and W at (0.000, 0.000, 0.000).

The total energy is -7.079 eV/atom. The excess energy over the best structure of this formula in the dataset is 0.669 eV/atom. The value obtained for the density of states at the Fermi level is 5.28 states/eV/f.u. Its formation energy is 1.32 eV/atom.

---

(2)
An optimized crystal structure of Ba2NiW, computed with PBE.

It has space group P4/mmm (No. 123), with a = 3.297 Å, b = 3.297 Å, c = 9.615 Å, α = 90.00°, β = 90.00° and γ = 90.00°. The distinct sites, in fractional coordinates, are Ba at (0.000, 0.000, 0.226), Ni at (0.500, 0.500, 0.000) and W at (0.500, 0.500, 0.500).

The total energy is -4.456 eV/atom. The excess energy over the best structure of this formula in the dataset is 0.488 eV/atom. The value obtained for the density of states at the Fermi level is 5.41 states/eV/f.u. Its formation energy is 1.19 eV/atom.

---

(3)
An optimized crystal structure of BaNiW2, computed with PBE.

It has space group Pm (No. 6), with a = 3.279 Å, b = 3.228 Å, c = 7.898 Å, α = 90.00°, β = 92.37° and γ = 90.00°. The distinct sites, in fractional coordinates, are Ba at (0.000, 0.000, 0.000), Ni at (0.489, 0.500, 0.687), W at (0.506, 0.500, 0.348) and W at (0.967, 0.000, 0.519).

The total energy is -7.747 eV/atom. The excess energy over the best structure of this formula in the dataset is 0.000 eV/atom. The value obtained for the density of states at the Fermi level is 4.64 states/eV/f.u. Its formation energy is 0.66 eV/atom.